DFT (PBE) results for a geometry-optimized LaPm12Y6 structure.

Calculated values
Crystal system: trigonal
Calculated total energy (eV/atom): -5.166
N(E_F) (states/eV/f.u.): 33.28
Spin magnetization (μB per cell): 0.00
Energy of formation (eV/atom): 0.1352
ΔE to the lowest computed polymorph (eV per atom): 0.0000

Cell: 8.698 8.698 8.698 Å, 89.07 89.07 89.07°
Element x y z (fractional)
Pm1 0.016 0.201 0.360
Pm2 0.433 0.778 0.538
Pm3 0.222 0.462 0.567
Pm4 0.640 0.984 0.799
Pm5 0.778 0.538 0.433
Pm6 0.984 0.799 0.640
Pm7 0.360 0.016 0.201
Pm8 0.201 0.360 0.016
Pm9 0.462 0.567 0.222
Pm10 0.538 0.433 0.778
Pm11 0.799 0.640 0.984
Pm12 0.567 0.222 0.462
Y1 0.260 0.098 0.697
Y2 0.697 0.260 0.098
Y3 0.902 0.303 0.740
Y4 0.740 0.902 0.303
Y5 0.303 0.740 0.902
Y6 0.098 0.697 0.260
La1 0.000 0.000 0.000

---

DFT (PBE) results for a geometry-optimized La2Pm7Y2 structure.

Calculated values
Crystal system: orthorhombic
Calculated total energy (eV/atom): -4.979
N(E_F) (states/eV/f.u.): 16.37
Spin magnetization (μB per cell): 0.00
Energy of formation (eV/atom): 0.1153
ΔE to the lowest computed polymorph (eV per atom): 0.0000

Cell: 3.703 10.730 10.730 Å, 68.08 80.06 80.06°
Element x y z (fractional)
Pm1 0.172 0.185 0.470
Pm2 0.309 0.805 0.577
Pm3 0.162 0.700 0.976
Pm4 0.691 0.423 0.195
Pm5 0.828 0.530 0.815
Pm6 0.838 0.024 0.300
Pm7 0.500 0.899 0.101
Y1 0.000 0.648 0.352
Y2 0.500 0.393 0.607
La1 0.384 0.240 0.993
La2 0.616 0.007 0.760

---

DFT (PBE) results for a geometry-optimized LaPm8Y2 structure.

Calculated values
Crystal system: orthorhombic
Calculated total energy (eV/atom): -4.968
N(E_F) (states/eV/f.u.): 17.00
Spin magnetization (μB per cell): 0.00
Energy of formation (eV/atom): 0.1102
ΔE to the lowest computed polymorph (eV per atom): 0.0000

Cell: 5.703 8.326 9.498 Å, 116.00 107.47 90.00°
Element x y z (fractional)
Y1 0.800 0.300 0.600
Y2 0.200 0.700 0.400
La1 0.500 0.000 0.000
Pm1 0.638 0.435 0.276
Pm2 0.362 0.565 0.724
Pm3 0.836 0.836 0.673
Pm4 0.164 0.164 0.327
Pm5 0.000 0.294 0.000
Pm6 0.000 0.706 0.000
Pm7 0.362 0.158 0.724
Pm8 0.638 0.842 0.276

---

DFT (PBE) results for a geometry-optimized La6Pm5Y2 structure.

Calculated values
Crystal system: orthorhombic
Calculated total energy (eV/atom): -5.003
N(E_F) (states/eV/f.u.): 17.93
Spin magnetization (μB per cell): 0.00
Energy of formation (eV/atom): 0.0930

Cell: 3.679 11.916 21.212 Å, 90.00 90.00 90.00°
Element x y z (fractional)
La1 0.000 0.918 0.633
La2 0.500 0.325 0.136
La3 0.000 0.582 0.133
La4 0.000 0.562 0.420
La5 0.500 0.675 0.864
La6 0.000 0.438 0.580
La7 0.000 0.082 0.367
La8 0.000 0.418 0.867
La9 0.500 0.825 0.364
La10 0.000 0.938 0.920
La11 0.000 0.062 0.080
La12 0.500 0.175 0.636
Pm1 0.500 0.000 0.500
Pm2 0.500 0.198 0.943
Pm3 0.500 0.302 0.443
Pm4 0.500 0.406 0.727
Pm5 0.500 0.594 0.273
Pm6 0.500 0.906 0.773
Pm7 0.500 0.802 0.057
Pm8 0.500 0.698 0.557
Pm9 0.500 0.500 0.000
Pm10 0.500 0.094 0.227
Y1 0.000 0.335 0.290
Y2 0.000 0.665 0.710
Y3 0.000 0.835 0.210
Y4 0.000 0.165 0.790

---

DFT (PBE) results for a geometry-optimized La3PmY6 structure.

Calculated values
Crystal system: orthorhombic
Calculated total energy (eV/atom): -5.617
N(E_F) (states/eV/f.u.): 15.86
Spin magnetization (μB per cell): 0.00
Energy of formation (eV/atom): 0.2147
ΔE to the lowest computed polymorph (eV per atom): 0.0000

Cell: 6.883 10.092 10.092 Å, 93.33 90.00 90.00°
Element x y z (fractional)
Y1 0.023 0.785 0.215
Y2 0.311 0.529 0.950
Y3 0.811 0.471 0.050
Y4 0.201 0.481 0.285
Y5 0.201 0.715 0.519
Y6 0.811 0.950 0.529
Y7 0.754 0.014 0.986
Y8 0.701 0.285 0.481
Y9 0.523 0.215 0.785
Y10 0.701 0.519 0.715
Y11 0.311 0.050 0.471
Y12 0.254 0.986 0.014
La1 0.476 0.838 0.761
La2 0.476 0.239 0.162
La3 0.202 0.392 0.608
La4 0.976 0.162 0.239
La5 0.702 0.608 0.392
La6 0.976 0.761 0.838
Pm1 0.528 0.811 0.189
Pm2 0.028 0.189 0.811

---

DFT (PBE) results for a geometry-optimized LaPm5Y3 structure.

Calculated values
Crystal system: monoclinic
Calculated total energy (eV/atom): -5.178
N(E_F) (states/eV/f.u.): 13.98
Spin magnetization (μB per cell): 0.00
Energy of formation (eV/atom): 0.1639
ΔE to the lowest computed polymorph (eV per atom): 0.0000

Cell: 12.329 12.329 11.726 Å, 43.39 43.39 32.14°
Element x y z (fractional)
Pm1 0.732 0.923 0.491
Pm2 0.268 0.077 0.509
Pm3 0.923 0.732 0.991
Pm4 0.616 0.605 0.328
Pm5 0.077 0.268 0.009
Pm6 0.395 0.384 0.172
Pm7 0.605 0.616 0.828
Pm8 0.685 0.315 0.250
Pm9 0.315 0.685 0.750
Pm10 0.384 0.395 0.672
Y1 0.641 0.843 0.886
Y2 0.000 0.000 0.500
Y3 0.000 0.000 0.000
Y4 0.157 0.359 0.614
Y5 0.843 0.641 0.386
Y6 0.359 0.157 0.114
La1 0.758 0.242 0.750
La2 0.242 0.758 0.250

---

DFT (PBE) results for a geometry-optimized LaPm2Y3 structure.

Calculated values
Crystal system: trigonal
Calculated total energy (eV/atom): -5.365
N(E_F) (states/eV/f.u.): 10.55
Spin magnetization (μB per cell): 0.00
Energy of formation (eV/atom): 0.2715
ΔE to the lowest computed polymorph (eV per atom): 0.2046

Cell: 7.106 7.106 9.607 Å, 90.00 90.00 120.00°
Element x y z (fractional)
Y1 0.183 0.367 0.266
Y2 0.817 0.633 0.734
Y3 0.183 0.817 0.266
Y4 0.817 0.183 0.734
Y5 0.367 0.183 0.734
Y6 0.633 0.817 0.266
La1 0.667 0.333 0.061
La2 0.333 0.667 0.939
Pm1 0.000 0.000 0.000
Pm2 0.667 0.333 0.412
Pm3 0.333 0.667 0.588
Pm4 0.000 0.000 0.500

---

DFT (PBE) results for a geometry-optimized LaPm4Y4 structure.

Calculated values
Crystal system: tetragonal
Calculated total energy (eV/atom): -5.513
N(E_F) (states/eV/f.u.): 13.37
Spin magnetization (μB per cell): 0.00
Energy of formation (eV/atom): 0.0187

Cell: 5.125 8.110 8.110 Å, 84.27 71.58 71.58°
Element x y z (fractional)
La1 0.000 0.000 0.000
Pm1 0.000 0.334 0.667
Pm2 0.000 0.666 0.333
Pm3 0.333 0.667 0.666
Pm4 0.667 0.333 0.334
Y1 0.332 0.335 0.000
Y2 0.332 0.000 0.335
Y3 0.668 0.665 0.000
Y4 0.668 0.000 0.665

---

DFT (PBE) results for a geometry-optimized La2Pm3Y5 structure.

Calculated values
Crystal system: monoclinic
Calculated total energy (eV/atom): -5.475
N(E_F) (states/eV/f.u.): 15.29
Spin magnetization (μB per cell): 0.00
Energy of formation (eV/atom): 0.1673

Cell: 9.250 9.252 11.283 Å, 122.82 122.81 71.21°
Element x y z (fractional)
Y1 0.875 0.618 0.740
Y2 0.635 0.878 0.260
Y3 0.365 0.122 0.740
Y4 0.725 0.475 0.951
Y5 0.027 0.777 0.554
Y6 0.275 0.525 0.049
Y7 0.125 0.382 0.260
Y8 0.473 0.723 0.446
Y9 0.527 0.277 0.554
Y10 0.973 0.223 0.446
La1 0.522 0.274 0.251
La2 0.229 0.978 0.251
La3 0.771 0.022 0.749
La4 0.478 0.726 0.749
Pm1 0.976 0.228 0.748
Pm2 0.024 0.772 0.252
Pm3 0.774 0.024 0.048
Pm4 0.727 0.480 0.252
Pm5 0.226 0.976 0.952
Pm6 0.273 0.520 0.748

---

DFT (PBE) results for a geometry-optimized La12PmY6 structure.

Calculated values
Crystal system: trigonal
Calculated total energy (eV/atom): -5.384
N(E_F) (states/eV/f.u.): 34.22
Spin magnetization (μB per cell): 0.00
Energy of formation (eV/atom): 0.0194

Cell: 9.732 9.732 9.732 Å, 110.83 110.83 110.83°
Element x y z (fractional)
Y1 0.681 0.527 0.785
Y2 0.473 0.215 0.319
Y3 0.527 0.785 0.681
Y4 0.785 0.681 0.527
Y5 0.319 0.473 0.215
Y6 0.215 0.319 0.473
La1 0.947 0.421 0.631
La2 0.421 0.631 0.947
La3 0.579 0.369 0.053
La4 0.158 0.737 0.105
La5 0.105 0.158 0.737
La6 0.842 0.263 0.895
La7 0.263 0.895 0.842
La8 0.895 0.842 0.263
La9 0.737 0.105 0.158
La10 0.053 0.579 0.369
La11 0.369 0.053 0.579
La12 0.631 0.947 0.421
Pm1 0.000 0.000 0.000

---

DFT (PBE) results for a geometry-optimized La6PmY5 structure.

Calculated values
Crystal system: monoclinic
Calculated total energy (eV/atom): -5.533
N(E_F) (states/eV/f.u.): 19.13
Spin magnetization (μB per cell): 0.00
Energy of formation (eV/atom): 0.0204

Cell: 6.265 7.433 9.718 Å, 112.50 92.09 89.97°
Element x y z (fractional)
La1 0.500 0.249 0.000
La2 0.832 0.584 0.666
La3 0.168 0.416 0.334
La4 0.500 0.751 0.000
La5 0.832 0.083 0.666
La6 0.168 0.917 0.334
Y1 0.332 0.333 0.667
Y2 0.332 0.833 0.666
Y3 0.000 0.500 0.000
Y4 0.668 0.167 0.334
Y5 0.668 0.667 0.333
Pm1 0.000 0.000 0.000

---

DFT (PBE) results for a geometry-optimized La5Pm5Y2 structure.

Calculated values
Crystal system: monoclinic
Calculated total energy (eV/atom): -5.090
N(E_F) (states/eV/f.u.): 21.05
Spin magnetization (μB per cell): 0.00
Energy of formation (eV/atom): 0.0200

Cell: 5.215 10.979 8.254 Å, 98.75 71.58 76.26°
Element x y z (fractional)
Pm1 0.667 0.000 0.665
Pm2 0.669 0.747 0.916
Pm3 0.000 0.500 0.500
Pm4 0.333 0.000 0.335
Pm5 0.331 0.253 0.084
La1 0.000 0.000 0.000
La2 0.666 0.252 0.416
La3 0.002 0.748 0.247
La4 0.998 0.252 0.753
La5 0.334 0.748 0.584
Y1 0.668 0.500 0.165
Y2 0.332 0.500 0.835

---

DFT (PBE) results for a geometry-optimized La2Pm4Y5 structure.

Calculated values
Crystal system: monoclinic
Calculated total energy (eV/atom): -5.450
N(E_F) (states/eV/f.u.): 19.08
Spin magnetization (μB per cell): 0.00
Energy of formation (eV/atom): 0.1113
ΔE to the lowest computed polymorph (eV per atom): 0.0416

Cell: 3.558 8.782 14.608 Å, 122.54 96.99 90.00°
Element x y z (fractional)
Y1 0.185 0.899 0.369
Y2 0.815 0.101 0.631
Y3 0.500 0.000 0.000
Y4 0.129 0.211 0.259
Y5 0.871 0.789 0.741
Pm1 0.041 0.739 0.082
Pm2 0.587 0.478 0.174
Pm3 0.959 0.261 0.918
Pm4 0.413 0.522 0.826
La1 0.727 0.628 0.453
La2 0.273 0.372 0.547

---

DFT (PBE) results for a geometry-optimized LaPm7Y3 structure.

Calculated values
Crystal system: trigonal
Calculated total energy (eV/atom): -5.046
N(E_F) (states/eV/f.u.): 18.13
Spin magnetization (μB per cell): 0.00
Energy of formation (eV/atom): 0.1883
ΔE to the lowest computed polymorph (eV per atom): 0.0000

Cell: 8.750 7.222 7.222 Å, 120.00 90.00 90.00°
Element x y z (fractional)
Y1 0.785 0.501 0.001
Y2 0.785 0.501 0.499
Y3 0.785 0.999 0.499
Pm1 0.455 0.833 0.167
Pm2 0.455 0.833 0.665
Pm3 0.111 0.666 0.833
Pm4 0.111 0.167 0.334
Pm5 0.455 0.335 0.167
Pm6 0.111 0.167 0.833
Pm7 0.124 0.667 0.333
La1 0.440 0.333 0.667

---

DFT (PBE) results for a geometry-optimized La5Pm2Y2 structure.

Calculated values
Crystal system: monoclinic
Calculated total energy (eV/atom): -5.210
N(E_F) (states/eV/f.u.): 16.94
Spin magnetization (μB per cell): 0.00
Energy of formation (eV/atom): 0.0195
ΔE to the lowest computed polymorph (eV per atom): 0.0000

Cell: 6.415 3.690 16.779 Å, 96.39 93.63 125.17°
Element x y z (fractional)
Y1 0.888 0.774 0.776
Y2 0.112 0.226 0.224
La1 0.444 0.887 0.888
La2 0.778 0.556 0.556
La3 0.000 0.000 0.000
La4 0.222 0.444 0.444
La5 0.556 0.113 0.112
Pm1 0.666 0.333 0.332
Pm2 0.334 0.667 0.668

---

DFT (PBE) results for a geometry-optimized La12Pm2Y7 structure.

Calculated values
Crystal system: hexagonal
Calculated total energy (eV/atom): -5.384
N(E_F) (states/eV/f.u.): 35.44
Spin magnetization (μB per cell): 0.00
Energy of formation (eV/atom): 0.0387

Cell: 3.613 15.368 15.368 Å, 120.00 90.00 90.00°
Element x y z (fractional)
Y1 0.500 0.901 0.378
Y2 0.500 0.477 0.099
Y3 0.000 0.045 0.809
Y4 0.000 0.764 0.955
Y5 0.000 0.333 0.667
Y6 0.500 0.622 0.523
Y7 0.000 0.191 0.236
Pm1 0.500 0.000 0.000
Pm2 0.000 0.667 0.333
La1 0.000 0.797 0.753
La2 0.000 0.247 0.044
La3 0.500 0.416 0.283
La4 0.000 0.515 0.918
La5 0.500 0.717 0.133
La6 0.000 0.403 0.485
La7 0.500 0.159 0.429
La8 0.000 0.956 0.203
La9 0.500 0.867 0.584
La10 0.500 0.571 0.730
La11 0.000 0.082 0.597
La12 0.500 0.270 0.841

---

DFT (PBE) results for a geometry-optimized La2PmY6 structure.

Calculated values
Crystal system: tetragonal
Calculated total energy (eV/atom): -5.902
N(E_F) (states/eV/f.u.): 14.34
Spin magnetization (μB per cell): 0.00
Energy of formation (eV/atom): 0.0303
ΔE to the lowest computed polymorph (eV per atom): 0.0000

Cell: 5.145 10.853 10.853 Å, 90.00 89.99 90.00°
Element x y z (fractional)
Y1 0.500 0.835 0.002
Y2 0.000 0.335 0.498
Y3 0.000 0.665 0.502
Y4 0.000 0.002 0.165
Y5 0.500 0.833 0.333
Y6 0.000 0.333 0.167
Y7 0.000 0.998 0.835
Y8 0.500 0.165 0.998
Y9 0.500 0.498 0.665
Y10 0.000 0.667 0.833
Y11 0.500 0.167 0.667
Y12 0.500 0.502 0.335
La1 0.500 0.166 0.334
La2 0.500 0.834 0.666
La3 0.000 0.666 0.166
La4 0.000 0.334 0.834
Pm1 0.000 0.000 0.500
Pm2 0.500 0.500 0.000

---

DFT (PBE) results for a geometry-optimized La6PmY2 structure.

Calculated values
Crystal system: monoclinic
Calculated total energy (eV/atom): -5.157
N(E_F) (states/eV/f.u.): 17.47
Spin magnetization (μB per cell): 0.00
Energy of formation (eV/atom): 0.0923
ΔE to the lowest computed polymorph (eV per atom): 0.0000

Cell: 3.725 10.295 10.295 Å, 125.20 85.92 85.92°
Element x y z (fractional)
Y1 0.500 0.162 0.838
Y2 0.500 0.838 0.162
La1 0.182 0.841 0.497
La2 0.182 0.497 0.841
La3 0.692 0.669 0.669
La4 0.818 0.503 0.159
La5 0.308 0.331 0.331
La6 0.818 0.159 0.503
Pm1 0.000 0.000 0.000